No. 1
Ce4NdSn5 after structural relaxation. Source: Alexandria, functional PBE-GGA.

Output
magnetic moment: 4.01 μB/f.u.
energy relative to the elements: -0.607 eV/atom
density: 7.8 Mg/m³
SG: P4/mmm

Cell lengths 3.503, 3.503, 22.629 Å; angles 90.00, 90.00, 90.00 degrees
Fractional coordinates of all 10 atoms:
Sn 0.500 0.500 0.101
Sn 0.500 0.500 0.899
Ce 0.000 0.000 0.202
Nd 0.000 0.000 0.000
Ce 0.000 0.000 0.798
Sn 0.500 0.500 0.301
Sn 0.500 0.500 0.699
Ce 0.000 0.000 0.599
Ce 0.000 0.000 0.401
Sn 0.500 0.500 0.500


No. 2
Ce5NdSn4 after structural relaxation. Source: Alexandria, functional PBE-GGA.

Output
magnetic moment: 5.16 μB/f.u.
energy relative to the elements: -0.417 eV/atom
density: 7.2 Mg/m³
SG: Pmmn

Cell lengths 4.526, 12.137, 11.133 Å; angles 90.00, 90.00, 90.00 degrees
Fractional coordinates of all 20 atoms:
Ce 0.745 0.500 0.000
Sn 0.754 0.252 0.000
Nd 0.752 0.000 0.000
Ce 0.254 0.812 0.807
Sn 0.755 0.000 0.288
Ce 0.746 0.312 0.307
Sn 0.755 0.000 0.712
Sn 0.246 0.752 0.500
Sn 0.245 0.500 0.212
Nd 0.248 0.500 0.500
Ce 0.254 0.188 0.807
Ce 0.746 0.688 0.693
Sn 0.754 0.748 0.000
Ce 0.746 0.688 0.307
Ce 0.746 0.312 0.693
Sn 0.246 0.248 0.500
Ce 0.255 0.000 0.500
Ce 0.254 0.812 0.193
Sn 0.245 0.500 0.788
Ce 0.254 0.188 0.193


No. 3
Ce3NdSn12 after structural relaxation. Source: Alexandria, functional PBE-GGA.

Output
magnetic moment: 1.06 μB/f.u.
energy relative to the elements: -0.531 eV/atom
density: 7.8 Mg/m³
SG: P4/mmm

Cell lengths 4.748, 4.748, 18.772 Å; angles 90.00, 90.00, 90.00 degrees
Fractional coordinates of all 16 atoms:
Sn 0.500 0.500 0.500
Sn 0.500 0.000 0.624
Ce 0.000 0.000 0.747
Sn 0.000 0.500 0.127
Sn 0.000 0.500 0.376
Sn 0.500 0.500 0.251
Sn 0.500 0.000 0.376
Sn 0.500 0.500 0.749
Sn 0.000 0.500 0.873
Sn 0.500 0.000 0.873
Ce 0.000 0.000 0.500
Sn 0.500 0.000 0.127
Sn 0.000 0.500 0.624
Ce 0.000 0.000 0.253
Sn 0.500 0.500 0.000
Nd 0.000 0.000 0.000


No. 4
Ce4NdSn4 after structural relaxation. Source: Alexandria, functional PBE-GGA.

Output
magnetic moment: 4.12 μB/f.u.
energy relative to the elements: -0.325 eV/atom
density: 7.0 Mg/m³
SG: P4_2/n

Cell lengths 6.554, 9.241, 9.241 Å; angles 90.00, 90.00, 90.00 degrees
Fractional coordinates of all 18 atoms:
Sn 0.163 0.895 0.709
Nd 0.500 0.500 0.500
Ce 0.842 0.613 0.774
Ce 0.342 0.726 0.113
Nd 0.000 0.000 0.000
Ce 0.342 0.274 0.887
Sn 0.163 0.105 0.291
Ce 0.842 0.387 0.226
Ce 0.158 0.774 0.387
Sn 0.837 0.709 0.105
Sn 0.337 0.395 0.209
Ce 0.158 0.226 0.613
Ce 0.658 0.113 0.274
Sn 0.837 0.291 0.895
Sn 0.663 0.209 0.605
Sn 0.663 0.791 0.395
Sn 0.337 0.605 0.791
Ce 0.658 0.887 0.726


No. 5
CeNd2Sn3 after structural relaxation. Source: Alexandria, functional PBE-GGA.

Output
magnetic moment: 0.37 μB/f.u.
energy relative to the elements: -0.524 eV/atom
density: 6.7 Mg/m³
SG: Immm

Cell lengths 4.491, 6.390, 7.860 Å; angles 113.99, 106.60, 90.00 degrees
Fractional coordinates of all 6 atoms:
Nd 0.669 0.169 0.339
Sn 0.661 0.661 0.323
Sn 0.000 0.000 0.000
Nd 0.331 0.831 0.661
Ce 0.000 0.500 0.000
Sn 0.339 0.339 0.677


No. 6
Ce4NdSn2 after structural relaxation. Source: Alexandria, functional PBE-GGA.

Output
magnetic moment: 0.05 μB/f.u.
energy relative to the elements: -0.117 eV/atom
density: 8.3 Mg/m³
SG: I4/mmm

Cell lengths 4.201, 4.201, 11.095 Å; angles 100.91, 100.91, 90.00 degrees
Fractional coordinates of all 7 atoms:
Ce 0.250 0.750 0.500
Ce 0.750 0.250 0.500
Ce 0.849 0.849 0.697
Nd 0.000 0.000 0.000
Sn 0.578 0.578 0.156
Sn 0.422 0.422 0.844
Ce 0.151 0.151 0.303